1.
This record from Alexandria describes a relaxed BaTiO3 crystal. The functional is GGA-PBE.

Values from the calculation:
The value obtained for the energy is -79.4 eV/cell. The space group is C2/m (12). The formation energy without anion corrections comes out at -3.006 eV/atom.

Lattice parameters (Å, degrees): 18.024 7.402 7.402 149.78 155.06 24.94
Fractional positions:
Ba (0.285, 0.110, 0.890)
O (0.583, 0.239, 0.761)
O (0.067, 0.623, 0.377)
Ti (0.840, 0.994, 0.006)
Ba (0.715, 0.890, 0.110)
O (0.174, 0.864, 0.136)
O (0.417, 0.761, 0.239)
O (0.933, 0.377, 0.623)
Ti (0.160, 0.006, 0.994)
O (0.826, 0.136, 0.864)

***

2.
This record from Alexandria describes a relaxed BaTiO2 crystal. The functional is GGA-PBE.

Values from the calculation:
The value obtained for the energy is -27.7 eV/cell. The energy above the most stable polymorph in this dataset is 0.273 eV/atom. The space group is R-3m (166). The formation energy without anion corrections comes out at -1.983 eV/atom.

Lattice parameters (Å, degrees): 7.166 7.166 7.166 26.51 26.51 26.51
Fractional positions:
O (0.124, 0.124, 0.124)
Ba (0.000, 0.000, 0.000)
Ti (0.500, 0.500, 0.500)
O (0.876, 0.876, 0.876)

***

3.
This record from Alexandria describes a relaxed Ba2Ti11O24 crystal. The functional is GGA-PBE.

Values from the calculation:
The value obtained for the energy is -321.9 eV/cell. The space group is P1 (1). The formation energy without anion corrections comes out at -3.034 eV/atom.

Lattice parameters (Å, degrees): 7.251 7.476 8.975 102.11 102.34 85.57
Fractional positions:
O (0.363, 0.713, 0.187)
Ti (0.498, 0.836, 0.052)
O (0.299, 0.382, 0.279)
O (0.353, 0.731, 0.843)
O (0.654, 0.918, 0.936)
Ti (0.478, 0.186, 0.268)
O (0.968, 0.364, 0.716)
O (0.373, 0.714, 0.509)
Ti (0.176, 0.547, 0.456)
O (0.037, 0.643, 0.281)
O (0.350, 0.044, 0.712)
Ti (0.811, 0.463, 0.542)
O (0.041, 0.651, 0.612)
Ti (0.191, 0.514, 0.110)
O (0.652, 0.942, 0.603)
Ba (0.025, 0.022, 0.797)
Ti (0.806, 0.464, 0.206)
O (0.661, 0.281, 0.797)
O (0.307, 0.393, 0.617)
Ti (0.189, 0.519, 0.790)
O (0.960, 0.355, 0.050)
O (0.682, 0.601, 0.050)
Ba (0.002, 0.994, 0.229)
O (0.366, 0.054, 0.404)
Ti (0.797, 0.487, 0.878)
O (0.297, 0.394, 0.946)
O (0.696, 0.614, 0.712)
O (0.966, 0.358, 0.389)
O (0.644, 0.937, 0.260)
O (0.328, 0.036, 0.085)
O (0.036, 0.649, 0.950)
O (0.655, 0.271, 0.176)
Ti (0.522, 0.818, 0.392)
O (0.700, 0.614, 0.384)
Ti (0.479, 0.187, 0.623)
Ti (0.520, 0.838, 0.733)
O (0.635, 0.282, 0.483)

***

4.
This record from Alexandria describes a relaxed Ba4Ti13O30 crystal. The functional is GGA-PBE.

Values from the calculation:
The value obtained for the energy is -807.7 eV/cell. The space group is Cmce (64). The formation energy without anion corrections comes out at -3.080 eV/atom.

Lattice parameters (Å, degrees): 9.975 9.975 14.211 90.00 90.00 119.97
Fractional positions:
O (0.650, 0.139, 0.932)
O (0.850, 0.361, 0.432)
O (0.826, 0.143, 0.766)
O (0.519, 0.519, 0.251)
Ba (0.979, 0.685, 0.091)
O (0.361, 0.361, 0.096)
O (0.861, 0.861, 0.404)
O (0.973, 0.806, 0.917)
Ti (0.498, 0.147, 0.664)
O (0.194, 0.027, 0.083)
O (0.694, 0.527, 0.417)
O (0.355, 0.181, 0.233)
O (0.361, 0.850, 0.432)
O (0.031, 0.686, 0.405)
O (0.969, 0.314, 0.595)
Ti (0.000, 0.000, 0.500)
Ti (0.853, 0.502, 0.336)
O (0.143, 0.826, 0.766)
O (0.639, 0.639, 0.904)
O (0.473, 0.306, 0.583)
O (0.837, 0.011, 0.575)
Ti (0.316, 0.684, 0.000)
O (0.663, 0.489, 0.075)
O (0.674, 0.357, 0.266)
O (0.027, 0.194, 0.083)
O (0.489, 0.663, 0.075)
Ba (0.479, 0.185, 0.409)
O (0.988, 0.488, 0.250)
O (0.306, 0.473, 0.583)
Ti (0.854, 0.037, 0.319)
O (0.012, 0.512, 0.750)
O (0.469, 0.814, 0.905)
O (0.357, 0.674, 0.266)
Ti (0.998, 0.647, 0.836)
O (0.527, 0.694, 0.417)
Ti (0.147, 0.498, 0.664)
Ba (0.521, 0.815, 0.591)
Ti (0.664, 0.664, 0.347)
O (0.139, 0.650, 0.932)
O (0.181, 0.355, 0.233)
Ti (0.684, 0.316, 0.000)
Ti (0.336, 0.336, 0.653)
O (0.337, 0.511, 0.925)
Ti (0.146, 0.963, 0.681)
O (0.681, 0.855, 0.267)
Ti (0.184, 0.816, 0.500)
Ba (0.185, 0.479, 0.409)
O (0.645, 0.819, 0.767)
O (0.150, 0.639, 0.568)
O (0.857, 0.174, 0.234)
O (0.512, 0.012, 0.750)
O (0.639, 0.150, 0.568)
O (0.989, 0.163, 0.425)
Ti (0.963, 0.146, 0.681)
O (0.326, 0.643, 0.734)
Ti (0.002, 0.353, 0.164)
O (0.163, 0.989, 0.425)
Ti (0.463, 0.646, 0.819)
Ti (0.537, 0.354, 0.181)
Ti (0.836, 0.836, 0.847)
O (0.814, 0.469, 0.905)
O (0.861, 0.350, 0.068)
O (0.981, 0.981, 0.751)
O (0.806, 0.973, 0.917)
O (0.531, 0.186, 0.095)
Ti (0.646, 0.463, 0.819)
Ti (0.502, 0.853, 0.336)
Ti (0.816, 0.184, 0.500)
Ti (0.354, 0.537, 0.181)
O (0.819, 0.645, 0.767)
O (0.488, 0.988, 0.250)
Ba (0.021, 0.315, 0.909)
O (0.019, 0.019, 0.249)
O (0.186, 0.531, 0.095)
Ti (0.647, 0.998, 0.836)
O (0.686, 0.031, 0.405)
O (0.314, 0.969, 0.595)
O (0.350, 0.861, 0.068)
O (0.511, 0.337, 0.925)
O (0.139, 0.139, 0.596)
O (0.174, 0.857, 0.234)
O (0.643, 0.326, 0.734)
O (0.145, 0.319, 0.733)
O (0.319, 0.145, 0.733)
Ti (0.037, 0.854, 0.319)
Ti (0.500, 0.500, 0.000)
Ba (0.315, 0.021, 0.909)
Ba (0.685, 0.979, 0.091)
O (0.855, 0.681, 0.267)
Ba (0.815, 0.521, 0.591)
Ti (0.353, 0.002, 0.164)
Ti (0.164, 0.164, 0.153)
O (0.011, 0.837, 0.575)
O (0.481, 0.481, 0.749)